No. 1
Na2Li2Zn15 (PBE, optimized geometry); crystal system = trigonal; symmetry = R-3m, No. 166
1.0
6.8475 -0.0559 -0.0498
0.8329 6.7969 -0.0498
0.8329 0.7310 6.7576
Na Zn Li
2 15 2
Cartesian
5.5875 4.9040 4.3698
2.9258 2.5679 2.2881
5.1395 1.5060 4.3668
3.3738 2.9611 5.6634
3.3738 5.9660 2.2912
5.0532 1.9884 -0.0498
0.4164 3.3984 -0.0249
0.8329 2.5405 4.7269
5.0532 0.1788 1.9809
2.1600 4.9007 4.3668
6.3533 2.5713 2.2912
2.6271 0.4963 4.7269
5.1395 4.5108 0.9945
0.4164 0.3655 3.3788
3.4237 -0.0280 -0.0249
0.8329 4.9873 1.9809
2.6271 4.7526 -0.0498
0.8546 0.7501 0.6684
7.6586 6.7218 5.9895

=====

No. 2
NaLi6Zn6 (PBE, optimized geometry); crystal system = orthorhombic; symmetry = Immm, No. 71
1.0
4.8497 0.0000 1.9384
2.4431 6.5400 0.9235
-0.0013 -0.2058 7.0392
Zn Li Na
6 6 1
Cartesian
3.6464 3.2700 1.4309
-0.0007 -0.1029 3.5196
2.4242 -0.1029 4.4888
1.2216 3.2700 0.4617
3.0069 1.4042 6.5488
4.2846 4.9300 3.3523
4.0103 2.2082 4.0386
5.3295 5.1166 7.7739
1.9620 1.2175 2.1272
3.2813 4.1259 5.8625
1.6083 4.2361 3.0122
0.8335 2.0981 4.9505
0.0000 0.0000 0.0000

=====

No. 3
NaLi3Zn (PBE, optimized geometry); crystal system = cubic; E above lowest polymorph = 0.000 eV/f.u.; symmetry = Pm-3m, No. 221
1.0
5.0056 0.0000 0.0000
0.0000 5.0056 0.0000
0.0000 0.0000 5.0056
Li Na Zn
3 1 1
Cartesian
2.5028 0.0000 0.0000
0.0000 0.0000 2.5028
0.0000 2.5028 0.0000
2.5028 2.5028 2.5028
0.0000 0.0000 0.0000

=====

No. 4
NaLi2Zn10 (PBE, optimized geometry); crystal system = orthorhombic; symmetry = Fmmm, No. 69
1.0
-2.7765 3.3175 3.1090
-6.2325 -2.1700 1.3140
0.7534 -1.3743 6.7036
Zn Li Na
10 2 1
Cartesian
-1.9462 0.1652 2.6500
-3.7695 -1.8871 3.2116
-6.3094 -0.3920 8.4766
-4.5045 0.5738 2.2115
-6.1088 -0.3688 4.0667
-3.7316 0.8989 4.8369
-2.1469 0.1420 7.0598
-3.1163 -1.0850 0.6570
-4.5241 -1.1257 6.2896
-4.4861 1.6602 7.9149
-1.0115 0.9716 4.9063
0.3767 -0.6872 3.3518
0.0000 0.0000 0.0000

=====

No. 5
Na2LiZn (PBE, optimized geometry); crystal system = tetragonal; symmetry = P4/mmm, No. 123
1.0
-3.5940 2.9492 0.9806
-2.2712 -1.5695 -3.6037
-1.9129 -3.1945 2.5969
Na Zn Li
2 1 1
Cartesian
-0.9564 -1.5973 1.2985
-1.1356 -0.7848 -1.8018
-3.8890 -0.9074 -0.0131
-1.7970 1.4746 0.4903

=====

No. 6
NaLi3Zn8 (PBE, optimized geometry); crystal system = trigonal; symmetry = R3m, No. 160
1.0
-2.3283 2.9280 -3.5926
-5.0224 -0.7201 -1.0759
-4.5778 6.4984 4.5190
Li Zn Na
3 8 1
Cartesian
-4.5699 6.4770 4.4964
-5.9838 4.4060 -0.0190
-6.7602 6.5091 2.1981
-3.3829 3.2621 1.1070
-5.2248 3.6159 -3.0332
-9.3448 7.6089 1.0256
-8.8842 5.0913 0.5605
-4.0567 2.1469 -1.2307
-7.5276 6.9283 -0.7068
-6.5765 1.7856 -1.7705
-10.0567 6.5657 -1.2486
-8.1493 4.3707 -2.3883

=====

No. 7
Na2LiZn (PBE, optimized geometry); crystal system = tetragonal; symmetry = P4/mmm, No. 123
1.0
-1.1741 0.4261 -3.7048
1.0852 -3.6770 -0.7668
-6.0378 -2.1300 1.6685
Na Li Zn
2 1 1
Cartesian
-1.5692 -0.5536 0.4337
-4.4686 -1.5764 1.2349
-0.0445 -1.6254 -2.2358
-3.0634 -2.6904 -1.4016

=====

No. 8
NaLi7Zn5 (PBE, optimized geometry); crystal system = orthorhombic; symmetry = Imm2, No. 44
1.0
4.8481 0.0000 1.9911
2.4096 6.6136 1.0306
-0.0884 0.0592 7.1131
Zn Li Na
5 7 1
Cartesian
5.9766 3.4003 9.6163
3.5341 3.4003 8.6132
5.3359 5.1131 7.7011
7.2098 6.6358 6.6137
4.7672 6.6358 5.6105
3.9873 2.2730 4.0869
5.6158 2.3533 7.0195
2.8571 1.4125 6.8389
1.8424 1.5361 2.4118
3.1919 4.3737 6.0238
4.3179 5.2453 3.2820
6.3834 4.3674 5.1504
2.3351 6.6362 8.1099

=====

Number 1: theoretical density 5.48 g/cm³, D(E_F) 6.84 states/eV per cell, formation energy from the elements -0.07 eV per atom. Number 2: theoretical density 3.40 g/cm³, D(E_F) 4.88 states/eV per cell, formation energy from the elements -0.14 eV per atom. Number 3: theoretical density 1.45 g/cm³, D(E_F) 2.47 states/eV per cell, formation energy from the elements 0.10 eV per atom. Number 4: theoretical density 5.49 g/cm³, D(E_F) 4.22 states/eV per cell, formation energy from the elements -0.05 eV per atom. Number 5: theoretical density 2.01 g/cm³, D(E_F) 1.16 states/eV per cell, formation energy from the elements 0.07 eV per atom. Number 6: theoretical density 4.68 g/cm³, D(E_F) 2.00 states/eV per cell, formation energy from the elements -0.13 eV per atom. Number 7: theoretical density 1.94 g/cm³, D(E_F) 1.66 states/eV per cell, formation energy from the elements 0.09 eV per atom. Number 8: theoretical density 2.89 g/cm³, D(E_F) 4.96 states/eV per cell, formation energy from the elements -0.12 eV per atom.